# PrHf2MnN4

A relaxed structure of PrHf2MnN4 (PBE, Alexandria via LeMat-Bulk). Values from VASP.

```
&SYSTEM
  ibrav = 0, nat = 16, ntyp = 4
/
ATOMIC_SPECIES
Pr 140.91 Pr.upf
Hf 178.49 Hf.upf
Mn 54.94 Mn.upf
N 14.01 N.upf
CELL_PARAMETERS angstrom
1.629 -5.550 0.000
1.629 5.550 0.000
0.000 0.000 11.047
ATOMIC_POSITIONS crystal
Pr 0.101 0.899 0.750
Pr 0.899 0.101 0.250
Hf 0.367 0.633 0.548
Hf 0.367 0.633 0.952
Hf 0.633 0.367 0.048
Hf 0.633 0.367 0.452
Mn 0.161 0.839 0.250
Mn 0.839 0.161 0.750
N 0.000 0.000 0.000
N 0.000 0.000 0.500
N 0.264 0.736 0.113
N 0.264 0.736 0.387
N 0.426 0.574 0.750
N 0.574 0.426 0.250
N 0.736 0.264 0.613
N 0.736 0.264 0.887
```

Properties
Space-group type   Cmcm, No. 63
Raw total energy   -155.50 eV for the cell shown
Crystal system   orthorhombic